Arrangement a

{
  "formula": "Cs3NaO",
  "functional": "GGA-PBE",
  "state": "relaxed",
  "cell": [[6.181, 0.000, 0.000], [0.000, 6.181, 0.000], [0.000, 0.000, 6.181]],
  "species": ["Cs", "Cs", "Cs", "Na", "O"],
  "frac_coords": [[0.000, 0.000, 0.500], [0.000, 0.500, 0.000], [0.500, 0.000, 0.000], [0.500, 0.500, 0.500], [0.000, 0.000, 0.000]],
  "spacegroup": "No. 221",
  "m_tot_mub_per_cell": 0.0
}

Arrangement b

{
  "formula": "Cs3NaO",
  "functional": "GGA-PBE",
  "state": "relaxed",
  "cell": [[4.483, 0.000, 0.000], [0.000, 13.402, 0.000], [-2.238, 0.000, 9.339]],
  "species": ["Cs", "Cs", "Cs", "Cs", "Cs", "Cs", "Na", "Na", "O", "O"],
  "frac_coords": [[0.019, 0.250, 0.037], [0.361, 0.100, 0.720], [0.361, 0.400, 0.720], [0.639, 0.600, 0.280], [0.639, 0.900, 0.280], [0.981, 0.750, 0.963], [0.255, 0.750, 0.512], [0.745, 0.250, 0.488], [0.133, 0.750, 0.267], [0.867, 0.250, 0.733]],
  "spacegroup": "No. 11",
  "m_tot_mub_per_cell": 0.0
}

If you had to bet on the most stable structure above, which would it be? Bet on arrangement b.